First-principles (PBE) data for Cd2AuSe after structural relaxation, as listed in Alexandria.

Summary:
Its density of states at the Fermi level is 1.1 states/eV per cell. For the energy relative to the elements, uncorrected, the calculation gives -0.08 eV per atom. Its magnetization is 0.00 μB/f.u.

Lattice parameters (Å, degrees): 3.769 4.188 5.667 90.00 90.00 90.00
Positions (direct):
Cd (0.000, 0.000, 0.000)
Cd (0.000, 0.500, 0.500)
Au (0.500, 0.000, 0.500)
Se (0.500, 0.500, 0.000)


First-principles (PBE) data for Ta2InP after structural relaxation, as listed in Alexandria.

Summary:
Its energy of formation is 0.203 eV per atom. Its density of states at the Fermi level is 2.6 states/eV per cell. Its magnetization is 0.00 μB/f.u.

Lattice parameters (Å, degrees): 3.414 4.368 4.799 90.00 90.00 90.00
Positions (direct):
Ta (0.000, 0.000, 0.000)
Ta (0.500, 0.000, 0.500)
In (0.000, 0.500, 0.500)
P (0.500, 0.500, 0.000)


First-principles (PBE) data for LiY2Cd after structural relaxation, as listed in Alexandria.

Summary:
Its energy of formation is 0.013 eV per atom. Its density of states at the Fermi level is 3.7 states/eV per cell. Its magnetization is 0.00 μB/f.u.

Lattice parameters (Å, degrees): 3.550 3.550 10.534 99.79 99.79 59.98
Positions (direct):
Li (0.000, 0.000, 0.000)
Y (0.247, 0.247, 0.742)
Y (0.419, 0.419, 0.258)
Cd (0.833, 0.833, 0.500)


First-principles (PBE) data for Zr2TlReTc after structural relaxation, as listed in Alexandria.

Summary:
Its energy of formation is 0.764 eV per atom. Its density of states at the Fermi level is 5.0 states/eV per cell. Its magnetization is 0.01 μB/f.u.

Lattice parameters (Å, degrees): 5.061 5.061 4.678 90.00 90.00 90.00
Positions (direct):
Zr (0.000, 0.500, 0.000)
Zr (0.500, 0.000, 0.000)
Tl (0.000, 0.000, 0.500)
Re (0.500, 0.500, 0.500)
Tc (0.500, 0.500, 0.000)


First-principles (PBE) data for InGaP2O after structural relaxation, as listed in Alexandria.

Summary:
Its density of states at the Fermi level is 3.2 states/eV per cell. For the energy relative to the elements, uncorrected, the calculation gives 0.16 eV per atom. Its magnetization is 0.00 μB/f.u.

Lattice parameters (Å, degrees): 5.008 5.008 3.638 90.00 90.00 90.00
Positions (direct):
In (0.000, 0.000, 0.000)
Ga (0.500, 0.500, 0.500)
P (0.000, 0.500, 0.500)
P (0.500, 0.000, 0.500)
O (0.500, 0.500, 0.000)


First-principles (PBE) data for La4Tb5Tl after structural relaxation, as listed in Alexandria.

Summary:
Its energy of formation is 0.071 eV per atom. Its density of states at the Fermi level is 15.4 states/eV per cell. Its magnetization is 0.00 μB/f.u.

Lattice parameters (Å, degrees): 8.269 8.269 8.269 97.33 97.33 138.14
Positions (direct):
La (0.000, 0.309, 0.309)
La (0.000, 0.691, 0.691)
La (0.309, 0.000, 0.309)
La (0.691, 0.000, 0.691)
Tb (0.324, 0.324, 0.633)
Tb (0.324, 0.691, 0.000)
Tb (0.691, 0.324, 0.000)
Tb (0.691, 0.691, 0.367)
Tb (0.802, 0.802, 0.000)
Tl (0.286, 0.286, 0.000)


First-principles (PBE) data for Ca4Te3I2 after structural relaxation, as listed in Alexandria.

Summary:
Its density of states at the Fermi level is 0.0 states/eV per cell. For the energy relative to the elements, uncorrected, the calculation gives -1.60 eV per atom. Its magnetization is 0.00 μB/f.u.

Lattice parameters (Å, degrees): 7.877 7.877 11.280 118.78 118.78 33.20
Positions (direct):
Ca (0.106, 0.106, 0.407)
Ca (0.292, 0.292, 0.212)
Ca (0.708, 0.708, 0.788)
Ca (0.894, 0.894, 0.593)
Te (0.305, 0.305, 0.701)
Te (0.500, 0.500, 0.500)
Te (0.695, 0.695, 0.299)
I (0.109, 0.109, 0.891)
I (0.891, 0.891, 0.109)


| no. | calculated volume (Å³ per atom) | uncorrected energy (eV per formula unit) |
| --- | --- | --- |
| 1 | 22.4 | -8.92 |
| 2 | 17.9 | -31.04 |
| 3 | 28.2 | -15.71 |
| 4 | 24.0 | -38.45 |
| 5 | 18.3 | -20.76 |
| 6 | 35.2 | -44.51 |
| 7 | 36.8 | -34.96 |